1.
Entry from OQMD via LeMat-Bulk: a relaxed NdHoZr2Sb2 crystal (GGA-PBE).

- calculated total energy (eV/atom) = -6.58

Geometry as POSCAR:
```
NdHoZr2Sb2
1.0
-2.1542 2.1542 8.4176
2.1542 -2.1542 8.4176
2.1542 2.1542 -8.4176
Ho Sb Zr Nd
1 2 2 1
Cartesian
0.0000 0.0000 11.3686
0.0000 0.0000 2.2071
0.0000 0.0000 14.6481
2.1542 0.0000 0.0177
0.0000 2.1542 0.0177
0.0000 0.0000 5.4111
```



2.
Entry from OQMD via LeMat-Bulk: a relaxed RbZrGe crystal (GGA-PBE).

- ΔE to the lowest computed polymorph (eV/atom) = 0.000

Geometry as POSCAR:
```
RbZrGe
1.0
0.0000 3.5882 3.5882
3.5882 0.0000 3.5882
3.5882 3.5882 0.0000
Ge Zr Rb
1 1 1
Cartesian
0.0000 0.0000 0.0000
5.3823 5.3823 5.3823
1.7941 1.7941 1.7941
```



3.
Entry from OQMD via LeMat-Bulk: a relaxed FeH4 crystal (GGA-PBE).

- ΔE to the lowest computed polymorph (eV/atom) = 0.132

Geometry as POSCAR:
```
FeH4
1.0
-1.3174 1.8188 4.3258
1.3174 -1.8188 4.3258
1.3174 1.8188 -4.3258
H Fe
8 2
Cartesian
0.0000 0.0000 0.0000
0.0000 1.8188 0.0000
1.3174 0.0550 2.5929
0.0000 0.9094 5.0776
0.0000 1.7637 1.7329
0.0000 0.0550 1.7329
1.3174 1.7637 2.5929
1.3174 0.9094 -0.7518
1.3174 0.9094 0.9800
0.0000 0.9094 3.3458
```